Entry from Alexandria via LeMat-Bulk: crystalline Ac2CeP2N6 at its relaxed geometry (PBE-GGA).

a = 9.9538 Å, b = 5.5582 Å, c = 7.0312 Å
α = 90.00°, β = 119.57°, γ = 90.00°
Space group C2/m (No. 12)
Symmetry-distinct sites (fractional):
Ac1 0.2026 0.0000 0.1821 [4 per cell]
Ce1 0.0000 0.0000 0.5000 [2 per cell]
P1 0.0485 0.5000 0.2839 [4 per cell]
N1 0.0447 0.2517 0.8151 [8 per cell]
N2 0.2324 0.5000 0.3673 [4 per cell]

Values from the calculation:
E_tot in eV for the cell shown: -173.16


Entry from Alexandria via LeMat-Bulk: crystalline Pm3Dy6Y2In at its relaxed geometry (PBE-GGA).

a = 6.1376 Å, b = 10.6325 Å, c = 11.7039 Å
α = 90.00°, β = 100.09°, γ = 90.00°
Space group C2/m (No. 12)
Symmetry-distinct sites (fractional):
Pm1 0.0000 0.0000 0.0000 [2 per cell]
Pm2 0.0000 0.3327 0.0000 [4 per cell]
Dy1 0.2452 0.3362 0.7447 [8 per cell]
Dy2 0.2461 0.5000 0.2541 [4 per cell]
Y1 0.0000 0.1663 0.5000 [4 per cell]
In1 0.0000 0.5000 0.5000 [2 per cell]

Values from the calculation:
Energy of formation from the pure elements in eV/atom: -0.04


Entry from Alexandria via LeMat-Bulk: crystalline LiPmPb3 at its relaxed geometry (PBE-GGA).

a = 4.7563 Å, b = 7.9942 Å, c = 7.4022 Å
α = 90.00°, β = 90.00°, γ = 90.00°
Space group Pmmn (No. 59, origin choice 2)
Symmetry-distinct sites (fractional):
Li1 0.2500 0.2500 0.0357 [2 per cell]
Pm1 0.2500 0.2500 0.4846 [2 per cell]
Pb1 0.2500 0.5567 0.7743 [4 per cell]
Pb2 0.2500 0.7500 0.1979 [2 per cell]

Values from the calculation:
Energy of formation from the pure elements in eV/atom: -0.21


Entry from Alexandria via LeMat-Bulk: crystalline HfBe4W at its relaxed geometry (PBE-GGA).

a = 6.5363 Å, b = 6.5363 Å, c = 6.5363 Å
α = 90.00°, β = 90.00°, γ = 90.00°
Space group F-43m (No. 216)
Symmetry-distinct sites (fractional):
Hf1 0.0000 0.0000 0.0000 [4 per cell]
Be1 0.1234 0.1234 0.3766 [16 per cell]
W1 0.2500 0.2500 0.7500 [4 per cell]

Values from the calculation:
Energy of formation from the pure elements in eV/atom: -0.15


no.,theoretical density (g cm⁻³),total moment (μB/cell)
1,7.3,0.28
2,7.5,0.25
3,9.1,0.00
4,9.5,0.01